a:
Entry from Alexandria via LeMat-Bulk: an optimized crystal structure of Nd2Er3In (PBE).

The structure in extended XYZ format:
```
12
Lattice="-2.560 4.646 7.759 2.560 -4.646 7.759 2.560 4.646 -7.759" Properties=species:S:1:pos:R:3 pbc="T T T"
Nd 0.000 2.323 0.390
Nd 2.560 2.323 2.716
Nd 0.000 2.323 5.043
Nd 2.560 2.323 7.369
Er 2.560 0.000 0.000
Er 2.560 4.238 -5.103
Er 2.560 -0.408 5.103
Er 0.000 0.000 7.759
Er 0.000 5.054 2.657
Er 0.000 0.408 12.862
In 2.560 2.323 -2.251
In 0.000 2.323 10.010
```

Calculated values
Density of states at the Fermi level, states/eV/cell: 13.9
Crystal system: orthorhombic

b:
Entry from Alexandria via LeMat-Bulk: an optimized crystal structure of Nd2Er3In (PBE).

The structure in extended XYZ format:
```
6
Lattice="2.442 -7.574 0.000 2.442 7.574 0.000 0.000 0.000 4.925" Properties=species:S:1:pos:R:3 pbc="T T T"
Nd 2.442 5.119 0.000
Nd 2.442 -5.119 0.000
Er 0.000 0.000 2.463
Er 2.442 2.485 2.463
Er 2.442 -2.485 2.463
In 2.442 0.000 0.000
```

Calculated values
Density of states at the Fermi level, states/eV/cell: 6.8
Crystal system: orthorhombic

Most stable to least stable, the ends of the list are b and a.

a:
Entry from Alexandria via LeMat-Bulk: an optimized crystal structure of Nd6ErIn2 (PBE).

The structure in extended XYZ format:
```
9
Lattice="6.559 -1.920 0.000 6.559 1.920 0.000 -3.736 0.000 11.535" Properties=species:S:1:pos:R:3 pbc="T T T"
Nd -1.009 0.000 3.913
Nd 2.503 0.000 4.701
Nd 3.744 0.000 1.413
Nd 5.637 0.000 10.122
Nd 6.879 0.000 6.834
Nd 10.390 0.000 7.621
Er 0.000 0.000 0.000
In 1.703 0.000 9.308
In 7.679 0.000 2.227
```

Calculated values
Density of states at the Fermi level, states/eV/cell: 10.7
Crystal system: monoclinic

b:
Entry from Alexandria via LeMat-Bulk: an optimized crystal structure of Nd6ErIn2 (PBE).

The structure in extended XYZ format:
```
18
Lattice="9.411 -6.125 0.000 9.411 6.125 0.000 0.000 0.000 5.172" Properties=species:S:1:pos:R:3 pbc="T T T"
Nd 1.706 1.046 1.293
Nd 3.723 2.050 3.879
Nd 1.706 -1.046 3.879
Nd 7.570 1.481 3.879
Nd 3.723 -2.050 1.293
Nd 11.252 1.481 3.879
Nd 7.570 -1.481 1.293
Nd 15.099 2.050 3.879
Nd 11.252 -1.481 1.293
Nd 17.115 1.046 1.293
Nd 15.099 -2.050 1.293
Nd 17.115 -1.046 3.879
Er 9.411 3.473 1.293
Er 9.411 -3.473 3.879
In 5.333 0.907 1.293
In 5.333 -0.907 3.879
In 13.489 0.907 1.293
In 13.489 -0.907 3.879
```

Calculated values
Density of states at the Fermi level, states/eV/cell: 23.9
Crystal system: orthorhombic

Most stable to least stable, the ends of the list are a and b.

a:
Entry from Alexandria via LeMat-Bulk: an optimized crystal structure of Nd6Er2In (PBE).

The structure in extended XYZ format:
```
18
Lattice="10.472 -4.642 0.000 10.472 4.642 0.000 -1.918 0.000 6.045" Properties=species:S:1:pos:R:3 pbc="T T T"
Nd 1.236 0.665 1.326
Nd 6.776 2.320 0.488
Nd 0.277 -0.665 4.348
Nd 7.735 0.669 3.394
Nd 13.208 2.320 2.534
Nd 8.694 -0.669 0.372
Nd 10.332 0.669 5.673
Nd 5.818 -2.320 3.511
Nd 11.291 -0.669 2.651
Nd 18.749 0.665 1.697
Nd 12.249 -2.320 5.556
Nd 17.790 -0.665 4.719
Er 4.130 0.720 3.475
Er 5.088 -0.720 0.452
Er 13.937 0.720 5.592
Er 14.896 -0.720 2.570
In 9.992 2.318 1.511
In 9.033 -2.318 4.534
```

Calculated values
Density of states at the Fermi level, states/eV/cell: 21.0
Crystal system: monoclinic

b:
Entry from Alexandria via LeMat-Bulk: an optimized crystal structure of Nd6Er2In (PBE).

The structure in extended XYZ format:
```
18
Lattice="8.068 -5.957 0.000 8.068 5.957 0.000 -0.764 0.000 6.151" Properties=species:S:1:pos:R:3 pbc="T T T"
Nd 6.493 4.294 6.060
Nd 4.473 1.741 0.915
Nd 8.496 4.294 3.166
Nd 5.857 1.474 4.136
Nd 4.091 -1.741 3.990
Nd 9.132 1.474 5.091
Nd 6.239 -1.474 1.060
Nd 11.281 1.741 2.161
Nd 9.515 -1.474 2.015
Nd 6.876 -4.294 2.985
Nd 10.899 -1.741 5.236
Nd 8.878 -4.294 0.091
Er 2.357 1.218 3.576
Er 2.739 -1.218 0.501
Er 12.632 1.218 5.650
Er 13.015 -1.218 2.575
In 7.877 1.474 1.538
In 7.495 -1.474 4.613
```

Calculated values
Density of states at the Fermi level, states/eV/cell: 21.7
Crystal system: monoclinic

Most stable to least stable, the ends of the list are a and b.

a:
Entry from Alexandria via LeMat-Bulk: an optimized crystal structure of NdErIn4 (PBE).

The structure in extended XYZ format:
```
6
Lattice="0.000 4.267 4.267 4.267 0.000 4.267 4.267 4.267 0.000" Properties=species:S:1:pos:R:3 pbc="T T T"
Nd 0.000 0.000 0.000
Er 6.400 6.400 6.400
In 3.201 3.201 3.201
In 5.333 5.333 3.201
In 5.333 3.201 5.333
In 3.201 5.333 5.333
```

Calculated values
Density of states at the Fermi level, states/eV/cell: 4.4
Crystal system: cubic

b:
Entry from Alexandria via LeMat-Bulk: an optimized crystal structure of NdErIn4 (PBE).

The structure in extended XYZ format:
```
6
Lattice="2.478 -2.651 0.000 2.478 2.651 0.000 0.000 0.000 12.259" Properties=species:S:1:pos:R:3 pbc="T T T"
Nd 0.000 0.000 0.000
Er 2.478 0.000 6.129
In 0.000 0.000 4.065
In 0.000 0.000 8.194
In 2.478 0.000 2.216
In 2.478 0.000 10.043
```

Calculated values
Density of states at the Fermi level, states/eV/cell: 4.4
Crystal system: orthorhombic

c:
Entry from Alexandria via LeMat-Bulk: an optimized crystal structure of NdErIn4 (PBE).

The structure in extended XYZ format:
```
24
Lattice="10.454 0.000 0.000 0.000 18.141 0.000 0.000 0.000 3.480" Properties=species:S:1:pos:R:3 pbc="T T T"
Nd 0.838 2.452 0.000
Nd 4.389 11.522 0.000
Nd 6.065 6.619 0.000
Nd 9.616 15.690 0.000
Er 1.233 7.730 0.000
Er 3.994 16.801 0.000
Er 6.459 1.340 0.000
Er 9.221 10.411 0.000
In 0.155 5.243 1.740
In 1.367 17.618 1.740
In 1.602 10.513 1.740
In 2.130 14.668 1.740
In 3.097 5.597 1.740
In 3.625 1.442 1.740
In 3.860 8.547 1.740
In 5.072 14.314 1.740
In 5.382 3.827 1.740
In 6.593 9.594 1.740
In 6.829 16.699 1.740
In 7.357 12.544 1.740
In 8.324 3.473 1.740
In 8.852 7.628 1.740
In 9.087 0.523 1.740
In 10.299 12.898 1.740
```

Calculated values
Density of states at the Fermi level, states/eV/cell: 15.7
Crystal system: orthorhombic

Most stable to least stable, the ends of the list are a and b.

a:
Entry from Alexandria via LeMat-Bulk: an optimized crystal structure of Nd6Er3In (PBE).

The structure in extended XYZ format:
```
20
Lattice="12.451 0.000 0.000 0.000 3.617 0.000 -1.021 0.000 14.789" Properties=species:S:1:pos:R:3 pbc="T T T"
Nd 0.350 0.904 5.812
Nd 0.515 2.713 14.109
Nd 1.748 0.904 11.103
Nd 3.331 2.713 4.657
Nd 3.747 0.904 1.607
Nd 4.343 0.904 7.363
Nd 7.086 2.713 7.426
Nd 7.683 2.713 13.181
Nd 8.098 0.904 10.132
Nd 9.682 2.713 3.686
Nd 10.915 0.904 0.680
Nd 11.079 2.713 8.977
Er 0.717 2.713 2.698
Er 4.043 2.713 13.612
Er 4.869 2.713 10.324
Er 6.561 0.904 4.465
Er 7.387 0.904 1.177
Er 10.713 0.904 12.091
In 1.834 2.713 8.245
In 9.595 0.904 6.543
```

Calculated values
Density of states at the Fermi level, states/eV/cell: 27.2
Crystal system: monoclinic

b:
Entry from Alexandria via LeMat-Bulk: an optimized crystal structure of Nd6Er3In (PBE).

The structure in extended XYZ format:
```
20
Lattice="12.965 0.000 0.000 0.000 3.550 0.000 -2.659 0.000 14.234" Properties=species:S:1:pos:R:3 pbc="T T T"
Nd -0.695 0.887 4.401
Nd -0.304 0.887 12.587
Nd 2.466 2.662 4.315
Nd 1.584 2.662 10.167
Nd 3.842 2.662 1.065
Nd 3.608 0.887 7.632
Nd 6.698 2.662 6.601
Nd 6.463 0.887 13.169
Nd 8.722 0.887 4.067
Nd 7.840 0.887 9.918
Nd 10.610 2.662 1.646
Nd 11.000 2.662 9.833
Er 0.770 0.887 1.372
Er 0.340 2.662 7.129
Er 3.182 0.887 12.729
Er 7.124 2.662 1.505
Er 9.965 0.887 7.104
Er 9.535 2.662 12.861
In 5.357 0.887 3.847
In 4.949 2.662 10.387
```

Calculated values
Density of states at the Fermi level, states/eV/cell: 26.6
Crystal system: monoclinic

Most stable to least stable, the ends of the list are b and a.

a:
Entry from Alexandria via LeMat-Bulk: an optimized crystal structure of Nd3Er4In (PBE).

The structure in extended XYZ format:
```
8
Lattice="12.967 -1.709 0.000 12.967 1.709 0.000 -0.782 0.000 5.797" Properties=species:S:1:pos:R:3 pbc="T T T"
Nd 0.000 0.000 0.000
Nd 3.743 0.000 1.203
Nd 21.409 0.000 4.594
Er 2.066 0.000 3.911
Er 7.122 0.000 1.534
Er 18.029 0.000 4.263
Er 23.086 0.000 1.886
In 12.576 0.000 2.899
```

Calculated values
Density of states at the Fermi level, states/eV/cell: 12.7
Crystal system: monoclinic

b:
Entry from Alexandria via LeMat-Bulk: an optimized crystal structure of Nd3Er4In (PBE).

The structure in extended XYZ format:
```
16
Lattice="11.271 0.000 0.000 0.000 7.093 0.000 0.000 0.000 6.218" Properties=species:S:1:pos:R:3 pbc="T T T"
Nd 0.000 0.907 0.000
Nd 2.677 0.826 2.163
Nd 2.959 6.267 5.272
Nd 5.636 6.186 3.109
Nd 8.312 6.267 5.272
Nd 8.595 0.826 2.163
Er 0.000 2.707 3.362
Er 0.000 4.452 0.137
Er 2.706 4.415 2.256
Er 2.929 2.678 5.365
Er 5.636 2.641 3.246
Er 5.636 4.386 0.253
Er 8.342 2.678 5.365
Er 8.565 4.415 2.256
In 0.000 6.086 3.276
In 5.636 1.007 0.167
```

Calculated values
Density of states at the Fermi level, states/eV/cell: 16.6
Crystal system: orthorhombic

Most stable to least stable, the ends of the list are b and a.